First-principles (PBE+U) data for crystalline Mg6CdNiO8 at its relaxed geometry, as listed in the Alexandria database.

Energy relative to the lowest polymorph listed for this composition in meV per atom: 0
Calculated total energy in eV for the cell shown: -88.4

```
Mg6CdNiO8
1.0
4.352 0.000 0.000
0.000 4.352 0.000
0.000 0.000 8.678
Mg Cd Ni O
6 1 1 8
direct
0.500 0.500 0.000
0.500 0.500 0.500
0.000 0.500 0.243
0.000 0.500 0.757
0.500 0.000 0.243
0.500 0.000 0.757
0.000 0.000 0.500
0.000 0.000 0.000
0.000 0.000 0.233
0.000 0.000 0.767
0.500 0.500 0.250
0.500 0.500 0.750
0.000 0.500 0.000
0.000 0.500 0.500
0.500 0.000 0.000
0.500 0.000 0.500
```